! GGA+U CaP2W2O10, relaxed; values from VASP
! Energy ... -222.34 eV for the cell shown
! Theoretical density ... 5.5 g cm⁻³
&SYSTEM
  ibrav = 0, nat = 30, ntyp = 4
/
ATOMIC_SPECIES
Ca 40.08 Ca.upf
P 30.97 P.upf
W 183.84 W.upf
O 16.00 O.upf
CELL_PARAMETERS angstrom
10.195 -0.012 0.009
6.421 6.202 -0.019
3.774 -1.583 6.008
ATOMIC_POSITIONS crystal
Ca 0.250 0.250 0.250
Ca 0.000 0.000 0.000
P 0.795 0.795 0.205
P 0.455 0.455 0.045
P 0.205 0.205 0.795
P 0.045 0.045 0.455
W 0.625 0.625 0.125
W 0.625 0.125 0.625
W 0.625 0.625 0.625
W 0.125 0.625 0.625
O 0.970 0.321 0.997
O 0.416 0.416 0.584
O 0.917 0.062 0.381
O 0.253 0.537 0.280
O 0.321 0.970 0.713
O 0.333 0.188 0.869
O 0.834 0.834 0.666
O 0.584 0.584 0.416
O 0.666 0.666 0.834
O 0.280 0.929 0.253
O 0.713 0.997 0.321
O 0.537 0.253 0.929
O 0.997 0.713 0.970
O 0.062 0.917 0.640
O 0.610 0.869 0.188
O 0.381 0.640 0.917
O 0.869 0.610 0.333
O 0.640 0.381 0.062
O 0.929 0.280 0.537
O 0.188 0.333 0.610